Below is an optimized crystal structure of Ag5Os, with properties calculated at the GGA-PBEsol level.

```
data_Ag5Os
_space_group_name_H-M_alt 'P 6/m m m'
_space_group_IT_number 191
_space_group_name_Hall '-P 6 2'
_cell_length_a 5.1425
_cell_length_b 5.1425
_cell_length_c 4.6494
_cell_angle_alpha 90.00
_cell_angle_beta 90.00
_cell_angle_gamma 120.00
loop_
_atom_site_label
_atom_site_type_symbol
_atom_site_fract_x
_atom_site_fract_y
_atom_site_fract_z
_atom_site_occupancy
Ag1 Ag 0.0000 0.5000 0.0000 1
Ag2 Ag 0.3333 0.6667 0.5000 1
Os1 Os 0.0000 0.0000 0.5000 1
```

Results
**Energy of formation from the pure elements**: 0.958 eV per atom
**DOS(E_F)**: 4.5 states/eV/cell
**Magnetization**: 1.69 μB per formula unit

***

Below is an optimized crystal structure of CrH2, with properties calculated at the GGA-PBEsol level.

```
data_CrH2
_space_group_name_H-M_alt 'F m -3 m'
_space_group_IT_number 225
_space_group_name_Hall '-F 4 2 3'
_cell_length_a 4.039
_cell_length_b 4.039
_cell_length_c 4.039
_cell_angle_alpha 90.00
_cell_angle_beta 90.00
_cell_angle_gamma 90.00
loop_
_atom_site_label
_atom_site_type_symbol
_atom_site_fract_x
_atom_site_fract_y
_atom_site_fract_z
_atom_site_occupancy
Cr1 Cr 0.000 0.000 0.000 1
H1 H 0.250 0.250 0.250 1
```

Results
**Calculated total energy**: -5.616 eV per atom
**DOS(E_F)**: 8.0 states/eV/cell
**Magnetization**: 0.01 μB per formula unit

***

Below is an optimized crystal structure of NdBr2Cl, with properties calculated at the GGA-PBEsol level.

```
data_NdBr2Cl
_space_group_name_H-M_alt 'P 1 m 1'
_space_group_IT_number 6
_cell_length_a 7.588
_cell_length_b 4.276
_cell_length_c 7.754
_cell_angle_alpha 90.00
_cell_angle_beta 118.91
_cell_angle_gamma 90.00
loop_
_space_group_symop_operation_xyz
'x,y,z'
'x,-y,z'
loop_
_atom_site_label
_atom_site_type_symbol
_atom_site_fract_x
_atom_site_fract_y
_atom_site_fract_z
_atom_site_occupancy
Nd1 Nd 0.000 0.000 0.000 1
Nd2 Nd 0.337 0.500 0.671 1
Br1 Br 0.041 0.000 0.630 1
Br2 Br 0.384 0.000 0.422 1
Br3 Br 0.575 0.000 0.959 1
Br4 Br 0.967 0.500 0.255 1
Cl1 Cl 0.258 0.500 0.018 1
Cl2 Cl 0.756 0.500 0.746 1
```

Results
**DOS(E_F)**: 0.0 states/eV/cell
**Magnetization**: 0.00 μB per formula unit
**Formation energy without anion corrections**: -2.041 eV per atom